## BaSbAs2Pd4 (PBE)

Data for a geometry-optimized BaSbAs2Pd4 structure.

Cell lengths 4.496, 4.496, 8.333 Å; angles 90.00, 90.00, 90.00 degrees
Element x y z (fractional)
Sb: 0.000 0.000 0.000
Ba: 0.000 0.000 0.500
As: 0.500 0.500 0.334
As: 0.500 0.500 0.666
Pd: 0.000 0.500 0.818
Pd: 0.000 0.500 0.182
Pd: 0.500 0.000 0.182
Pd: 0.500 0.000 0.818

Computed properties:
As for the density of states at the Fermi level: 4.2 states/eV per cell. For the volume, the calculation gives 168 Å³ per cell. The value obtained for the total energy is -40.9 eV/cell. Its total moment is 0.00 μB per formula unit. The value obtained for the raw formation energy is -603.8 meV/atom.



## Na2AcH8Ir (PBE)

Data for a geometry-optimized Na2AcH8Ir structure.

Cell lengths 4.891, 4.891, 6.592 Å; angles 90.00, 90.00, 120.00 degrees
Element x y z (fractional)
H: 0.317 0.159 0.846
H: 0.333 0.667 0.528
H: 0.683 0.841 0.154
H: 0.667 0.333 0.472
H: 0.841 0.683 0.846
H: 0.159 0.317 0.154
H: 0.159 0.841 0.154
H: 0.841 0.159 0.846
Na: 0.667 0.333 0.127
Na: 0.333 0.667 0.873
Ir: 0.000 0.000 0.000
Ac: 0.000 0.000 0.500

Computed properties:
As for the density of states at the Fermi level: 0.0 states/eV per cell. For the volume, the calculation gives 137 Å³ per cell. The value obtained for the total energy is -47.6 eV/cell. Its total moment is 0.00 μB per formula unit.



## RbSb2Cl7 (PBE)

Data for a geometry-optimized RbSb2Cl7 structure.

Cell lengths 5.328, 8.671, 8.069 Å; angles 122.50, 90.00, 90.00 degrees
Element x y z (fractional)
Cl: 0.500 0.953 0.276
Cl: 0.000 0.713 0.426
Cl: 0.500 0.047 0.724
Cl: 0.000 0.287 0.574
Cl: 0.500 0.500 0.000
Cl: 0.500 0.324 0.276
Cl: 0.500 0.676 0.724
Rb: 0.000 0.000 0.000
Sb: 0.500 0.296 0.592
Sb: 0.500 0.704 0.408

Computed properties:
For the volume, the calculation gives 314 Å³ per cell. The value obtained for the total energy is -32.5 eV/cell. Its total moment is 0.00 μB per formula unit. The value obtained for the raw formation energy is -1039.4 meV/atom.



## Li8Cd6In (PBE)

Data for a geometry-optimized Li8Cd6In structure.

Cell lengths 8.054, 8.054, 6.982 Å; angles 54.77, 54.77, 60.00 degrees
Element x y z (fractional)
Cd: 0.166 0.625 0.777
Cd: 0.432 0.166 0.777
Cd: 0.834 0.375 0.223
Cd: 0.568 0.834 0.223
Cd: 0.375 0.568 0.223
Cd: 0.625 0.432 0.777
Li: 0.937 0.617 0.304
Li: 0.857 0.063 0.696
Li: 0.383 0.857 0.696
Li: 0.749 0.749 0.753
Li: 0.063 0.383 0.696
Li: 0.143 0.937 0.304
Li: 0.251 0.251 0.247
Li: 0.617 0.143 0.304
In: 0.000 0.000 0.000

Computed properties:
The formation energy from the elements is -0.131 eV/atom. As for the density of states at the Fermi level: 5.3 states/eV per cell. For the volume, the calculation gives 293 Å³ per cell. The value obtained for the total energy is -25.5 eV/cell. Its total moment is 0.00 μB per formula unit.



## Sm2Y4Tm (PBE)

Data for a geometry-optimized Sm2Y4Tm structure.

Cell lengths 6.041, 6.683, 11.695 Å; angles 90.00, 104.63, 90.00 degrees
Element x y z (fractional)
Sm: 0.604 0.750 0.009
Sm: 0.286 0.250 0.444
Sm: 0.396 0.250 0.991
Sm: 0.714 0.750 0.556
Y: 0.368 0.503 0.711
Y: 0.147 0.750 0.424
Y: 0.632 0.003 0.289
Y: 0.982 0.750 0.841
Y: 0.632 0.497 0.289
Y: 0.018 0.250 0.159
Y: 0.368 0.997 0.711
Y: 0.853 0.250 0.576
Tm: 0.840 0.250 0.858
Tm: 0.160 0.750 0.142

Computed properties:
The formation energy from the elements is 0.135 eV/atom. As for the density of states at the Fermi level: 24.9 states/eV per cell. For the volume, the calculation gives 457 Å³ per cell. The value obtained for the total energy is -77.6 eV/cell. Its total moment is 0.00 μB per formula unit.



## Th6TeP3Se2 (PBE)

Data for a geometry-optimized Th6TeP3Se2 structure.

Cell lengths 4.182, 8.538, 9.519 Å; angles 104.95, 102.69, 90.00 degrees
Element x y z (fractional)
Se: 0.832 0.667 0.665
Se: 0.168 0.333 0.335
P: 0.500 0.500 0.000
P: 0.836 0.168 0.672
P: 0.164 0.832 0.328
Th: 0.677 0.073 0.353
Th: 0.996 0.275 0.992
Th: 0.338 0.405 0.677
Th: 0.004 0.725 0.008
Th: 0.323 0.927 0.647
Th: 0.662 0.595 0.323
Te: 0.500 0.000 0.000

Computed properties:
As for the density of states at the Fermi level: 9.5 states/eV per cell. For the volume, the calculation gives 320 Å³ per cell. The value obtained for the total energy is -88.9 eV/cell. Its total moment is 0.00 μB per formula unit. The value obtained for the raw formation energy is -1503.3 meV/atom.



## AcScGa2Ni2 (PBE)

Data for a geometry-optimized AcScGa2Ni2 structure.

Cell lengths 4.343, 4.343, 7.165 Å; angles 90.00, 90.00, 120.00 degrees
Element x y z (fractional)
Ga: 0.333 0.667 0.313
Ga: 0.667 0.333 0.687
Ac: 0.000 0.000 0.000
Sc: 0.000 0.000 0.500
Ni: 0.333 0.667 0.682
Ni: 0.667 0.333 0.318

Computed properties:
The formation energy from the elements is -0.584 eV/atom. As for the density of states at the Fermi level: 4.8 states/eV per cell. For the volume, the calculation gives 117 Å³ per cell. The value obtained for the total energy is -31.6 eV/cell. Its total moment is 0.00 μB per formula unit.



## TlSiNi2 (PBE)

Data for a geometry-optimized TlSiNi2 structure.

Cell lengths 4.399, 4.399, 4.399 Å; angles 60.00, 60.00, 60.00 degrees
Element x y z (fractional)
Tl: 0.750 0.750 0.750
Ni: 0.000 0.000 0.000
Ni: 0.250 0.250 0.250
Si: 0.500 0.500 0.500

Computed properties:
As for the density of states at the Fermi level: 1.5 states/eV per cell. For the volume, the calculation gives 60 Å³ per cell. The energy above the most stable polymorph in this dataset is 0.527 eV per atom. The value obtained for the total energy is -17.5 eV/cell. Its total moment is 0.00 μB per formula unit. The value obtained for the raw formation energy is 462.1 meV/atom.



## Rb2TiCu2 (PBE)

Data for a geometry-optimized Rb2TiCu2 structure.

Cell lengths 6.876, 6.876, 5.962 Å; angles 90.00, 90.00, 90.00 degrees
Element x y z (fractional)
Cu: 0.628 0.128 0.000
Cu: 0.372 0.872 0.000
Cu: 0.128 0.372 0.000
Cu: 0.872 0.628 0.000
Ti: 0.500 0.500 0.000
Ti: 0.000 0.000 0.000
Rb: 0.179 0.679 0.500
Rb: 0.821 0.321 0.500
Rb: 0.321 0.179 0.500
Rb: 0.679 0.821 0.500

Computed properties:
The formation energy from the elements is 0.738 eV/atom. As for the density of states at the Fermi level: 6.3 states/eV per cell. For the volume, the calculation gives 282 Å³ per cell. The energy above the most stable polymorph in this dataset is 0.000 eV per atom. The value obtained for the total energy is -28.7 eV/cell. Its total moment is 2.25 μB per formula unit.



## TaAgTe2 (PBE)

Data for a geometry-optimized TaAgTe2 structure.

Cell lengths 3.272, 3.272, 9.441 Å; angles 90.00, 90.00, 111.19 degrees
Element x y z (fractional)
Ta: 0.500 0.500 0.750
Te: 0.000 0.000 0.978
Te: 0.000 0.000 0.522
Ag: 0.500 0.500 0.250

Computed properties:
As for the density of states at the Fermi level: 2.6 states/eV per cell. For the volume, the calculation gives 94 Å³ per cell. The value obtained for the total energy is -19.6 eV/cell. Its total moment is 0.00 μB per formula unit. The value obtained for the raw formation energy is 342.8 meV/atom.



## La2ThAl (PBE)

Data for a geometry-optimized La2ThAl structure.

Cell lengths 5.014, 4.885, 4.885 Å; angles 90.00, 90.00, 90.00 degrees
Element x y z (fractional)
Th: 0.500 0.500 0.500
Al: 0.500 0.000 0.000
La: 0.000 0.500 0.000
La: 0.000 0.000 0.500

Computed properties:
The formation energy from the elements is -0.129 eV/atom. As for the density of states at the Fermi level: 5.1 states/eV per cell. For the volume, the calculation gives 120 Å³ per cell. The energy above the most stable polymorph in this dataset is 0.014 eV per atom. The value obtained for the total energy is -21.5 eV/cell. Its total moment is 0.00 μB per formula unit.



## Tb3HoHg2 (PBE)

Data for a geometry-optimized Tb3HoHg2 structure.

Cell lengths 5.138, 7.042, 9.268 Å; angles 90.00, 90.00, 90.00 degrees
Element x y z (fractional)
Tb: 0.000 0.828 0.673
Tb: 0.000 0.485 0.946
Tb: 0.500 0.172 0.825
Tb: 0.500 0.672 0.175
Tb: 0.000 0.328 0.327
Tb: 0.000 0.985 0.054
Ho: 0.500 0.015 0.446
Ho: 0.500 0.515 0.554
Hg: 0.500 0.236 0.150
Hg: 0.500 0.736 0.850
Hg: 0.000 0.764 0.350
Hg: 0.000 0.264 0.650

Computed properties:
The formation energy from the elements is -0.358 eV/atom. As for the density of states at the Fermi level: 4.7 states/eV per cell. For the volume, the calculation gives 335 Å³ per cell. The energy above the most stable polymorph in this dataset is 0.000 eV per atom. The value obtained for the total energy is -42.4 eV/cell. Its total moment is 0.00 μB per formula unit.



## K2BaAg2Br6 (PBE)

Data for a geometry-optimized K2BaAg2Br6 structure.

Cell lengths 8.335, 8.245, 8.146 Å; angles 113.54, 90.00, 120.36 degrees
Element x y z (fractional)
Br: 0.257 0.514 0.424
Br: 0.832 0.157 0.839
Br: 0.743 0.486 0.576
Br: 0.676 0.843 0.161
Br: 0.168 0.843 0.161
Br: 0.324 0.157 0.839
Ba: 0.500 0.000 0.500
Ag: 0.053 0.106 0.206
Ag: 0.947 0.894 0.794
K: 0.738 0.475 0.170
K: 0.262 0.525 0.830

Computed properties:
As for the density of states at the Fermi level: 0.0 states/eV per cell. For the volume, the calculation gives 428 Å³ per cell. The value obtained for the total energy is -34.3 eV/cell. Its total moment is 0.00 μB per formula unit. The value obtained for the raw formation energy is -1313.1 meV/atom.



## Si2SbMo (PBE)

Data for a geometry-optimized Si2SbMo structure.

Cell lengths 8.528, 8.528, 8.528 Å; angles 21.45, 21.45, 21.45 degrees
Element x y z (fractional)
Si: 0.514 0.514 0.514
Si: 0.986 0.986 0.986
Mo: 0.250 0.250 0.250
Sb: 0.750 0.750 0.750

Computed properties:
As for the density of states at the Fermi level: 3.0 states/eV per cell. For the volume, the calculation gives 73 Å³ per cell. The value obtained for the total energy is -24.8 eV/cell. Its total moment is 0.00 μB per formula unit. The value obtained for the raw formation energy is 257.0 meV/atom.



## Cs2TiTc (PBE)

Data for a geometry-optimized Cs2TiTc structure.

Cell lengths 10.122, 10.122, 10.122 Å; angles 92.83, 92.83, 154.34 degrees
Element x y z (fractional)
Cs: 0.125 0.837 0.212
Cs: 0.625 0.913 0.788
Cs: 0.087 0.875 0.712
Cs: 0.163 0.375 0.288
Tc: 0.000 0.000 0.000
Tc: 0.250 0.750 0.500
Ti: 0.750 0.250 0.500
Ti: 0.500 0.500 0.000

Computed properties:
The formation energy from the elements is 1.135 eV/atom. As for the density of states at the Fermi level: 10.2 states/eV per cell. For the volume, the calculation gives 438 Å³ per cell. The energy above the most stable polymorph in this dataset is 0.000 eV per atom. The value obtained for the total energy is -30.9 eV/cell. Its total moment is 0.24 μB per formula unit.



## Ho2Er5Ni4 (PBE)

Data for a geometry-optimized Ho2Er5Ni4 structure.

Cell lengths 3.545, 6.993, 11.168 Å; angles 78.49, 99.13, 90.00 degrees
Element x y z (fractional)
Er: 0.208 0.373 0.415
Er: 0.792 0.627 0.585
Er: 0.159 0.879 0.318
Er: 0.500 0.000 0.000
Er: 0.841 0.121 0.682
Ni: 0.369 0.383 0.738
Ni: 0.631 0.617 0.262
Ni: 0.946 0.288 0.892
Ni: 0.054 0.712 0.108
Ho: 0.934 0.664 0.869
Ho: 0.066 0.336 0.131

Computed properties:
The formation energy from the elements is -0.096 eV/atom. As for the density of states at the Fermi level: 10.8 states/eV per cell. For the volume, the calculation gives 268 Å³ per cell. The value obtained for the total energy is -56.2 eV/cell. Its total moment is 0.00 μB per formula unit.



## Cu8C (PBE)

Data for a geometry-optimized Cu8C structure.

Cell lengths 5.580, 5.580, 5.580 Å; angles 96.05, 96.05, 142.10 degrees
Element x y z (fractional)
Cu: 0.337 0.337 0.675
Cu: 0.000 0.325 0.325
Cu: 0.337 0.663 0.000
Cu: 0.663 0.337 0.000
Cu: 0.325 0.000 0.325
Cu: 0.000 0.675 0.675
Cu: 0.675 0.000 0.675
Cu: 0.663 0.663 0.325
C: 0.000 0.000 0.000

Computed properties:
The formation energy from the elements is 0.480 eV/atom. As for the density of states at the Fermi level: 3.8 states/eV per cell. For the volume, the calculation gives 101 Å³ per cell. The value obtained for the total energy is -37.7 eV/cell. Its total moment is 0.00 μB per formula unit.



## LiNd2Y (PBE)

Data for a geometry-optimized LiNd2Y structure.

Cell lengths 3.539, 3.539, 12.604 Å; angles 81.93, 81.93, 60.00 degrees
Element x y z (fractional)
Li: 0.000 0.000 0.000
Nd: 0.089 0.089 0.734
Nd: 0.911 0.911 0.266
Y: 0.500 0.500 0.500

Computed properties:
The formation energy from the elements is 0.163 eV/atom. As for the density of states at the Fermi level: 5.2 states/eV per cell. For the volume, the calculation gives 135 Å³ per cell. The energy above the most stable polymorph in this dataset is 0.098 eV per atom. The value obtained for the total energy is -17.3 eV/cell. Its total moment is 0.00 μB per formula unit.



## Sm5ErMg (PBE)

Data for a geometry-optimized Sm5ErMg structure.

Cell lengths 9.577, 6.444, 11.871 Å; angles 75.77, 90.00, 138.00 degrees
Element x y z (fractional)
Sm: 0.606 0.586 0.345
Sm: 0.394 0.414 0.655
Sm: 0.772 0.229 0.462
Sm: 0.456 0.229 0.962
Sm: 0.020 0.414 0.155
Sm: 0.138 0.000 0.250
Sm: 0.862 0.000 0.750
Sm: 0.980 0.586 0.845
Sm: 0.228 0.771 0.538
Sm: 0.544 0.771 0.038
Er: 0.493 0.000 0.250
Er: 0.507 0.000 0.750
Mg: 0.000 0.000 0.000
Mg: 0.000 0.000 0.500

Computed properties:
The formation energy from the elements is 0.112 eV/atom. As for the density of states at the Fermi level: 17.5 states/eV per cell. For the volume, the calculation gives 456 Å³ per cell. The value obtained for the total energy is -57.9 eV/cell. Its total moment is 0.00 μB per formula unit.



## ScTlOs2 (PBE)

Data for a geometry-optimized ScTlOs2 structure.

Cell lengths 2.937, 2.937, 8.324 Å; angles 90.00, 90.00, 90.00 degrees
Element x y z (fractional)
Os: 0.000 0.000 0.034
Os: 0.500 0.500 0.228
Tl: 0.500 0.500 0.769
Sc: 0.000 0.000 0.469

Computed properties:
The formation energy from the elements is 0.121 eV/atom. As for the density of states at the Fermi level: 1.9 states/eV per cell. For the volume, the calculation gives 72 Å³ per cell. The value obtained for the total energy is -30.7 eV/cell. Its total moment is 0.04 μB per formula unit.